A geometry-optimized ReAgTe structure, computed with PBE.

Cell lengths 4.461, 4.461, 4.461 Å; angles 60.00, 60.00, 60.00 degrees
Sites, in units of the cell vectors:
Re: 0.000 0.000 0.000
Ag: 0.750 0.750 0.750
Te: 0.250 0.250 0.250

- total magnetic moment (μB/f.u.) = 0.0
- offset from the most stable computed form (meV per atom) = 0.0

=====

A geometry-optimized Re2AgTe structure, computed with PBE.

Cell lengths 4.622, 4.622, 4.622 Å; angles 60.00, 60.00, 60.00 degrees
Sites, in units of the cell vectors:
Re: 0.000 0.000 0.000
Re: 0.250 0.250 0.250
Ag: 0.750 0.750 0.750
Te: 0.500 0.500 0.500

- total magnetic moment (μB/f.u.) = 0.0

=====

A geometry-optimized TlReAg3Te4 structure, computed with PBE.

Cell lengths 6.696, 6.696, 6.696 Å; angles 90.00, 90.00, 90.00 degrees
Sites, in units of the cell vectors:
Tl: 0.000 0.000 0.000
Re: 0.500 0.500 0.500
Ag: 0.000 0.500 0.500
Ag: 0.500 0.000 0.500
Ag: 0.500 0.500 0.000
Te: 0.272 0.272 0.272
Te: 0.272 0.728 0.728
Te: 0.728 0.272 0.728
Te: 0.728 0.728 0.272

- total magnetic moment (μB/f.u.) = 3.0

=====

Number 1: V 63 Å³/cell, uncorrected energy -5.372 eV/atom. Number 2: V 70 Å³/cell, uncorrected energy -6.734 eV/atom. Number 3: V 300 Å³/cell, uncorrected energy -3.811 eV/atom.